A crystal of LiCrP2S7 relaxed with PBEsol, computed with SCAN.

```
LiCrP2S7
1.0
4.287 -4.721 0.000
4.287 4.721 0.000
-4.219 0.000 6.779
Li Cr P S
1 1 2 7
Direct
0.000 0.000 0.000
0.284 0.716 0.500
0.087 0.234 0.436
0.766 0.913 0.564
0.082 0.867 0.703
0.133 0.918 0.297
0.372 0.469 0.665
0.531 0.628 0.335
0.615 0.012 0.756
0.792 0.208 0.500
0.988 0.385 0.244
```

Summary:
Its density of states at the Fermi level is 0.000 states/eV/atom. The total energy comes out at -10.5544 eV per atom. As for the space-group type: C2, No. 5.

A crystal of Mn2NiPt relaxed with PBEsol, computed with SCAN.

```
Mn2NiPt
1.0
-1.979 1.979 3.366
1.979 -1.979 3.366
1.979 1.979 -3.366
Mn Ni Pt
2 1 1
Direct
0.250 0.750 0.500
0.750 0.250 0.500
0.000 0.000 0.000
0.500 0.500 0.000
```

Summary:
Its density of states at the Fermi level is 0.304 states/eV/atom. As for the space-group type: I4/mmm, No. 139. For the formation energy, the calculation gives -0.5893 eV per atom.

A crystal of Zr2CuPb2 relaxed with PBEsol, computed with SCAN.

```
Zr2CuPb2
1.0
-2.074 2.074 6.960
2.074 -2.074 6.960
2.074 2.074 -6.960
Zr Cu Pb
2 1 2
Direct
0.089 0.089 0.000
0.911 0.911 0.000
0.500 0.500 0.000
0.250 0.750 0.500
0.750 0.250 0.500
```

Summary:
Its density of states at the Fermi level is 0.632 states/eV/atom. As for the space-group type: I4/mmm, No. 139. For the formation energy, the calculation gives 0.4418 eV per atom.

A crystal of MnMo2Au relaxed with PBEsol, computed with SCAN.

```
MnMo2Au
1.0
0.000 3.099 3.099
3.099 0.000 3.099
3.099 3.099 0.000
Mn Mo Au
1 2 1
Direct
0.000 0.000 0.000
0.250 0.250 0.250
0.750 0.750 0.750
0.500 0.500 0.500
```

Summary:
Its density of states at the Fermi level is 1.160 states/eV/atom. The excess energy over the best structure of this formula in the dataset comes out at 10.44 kcal/mol of atoms. As for the space-group type: Fm-3m, No. 225. For the formation energy, the calculation gives 0.4482 eV per atom.

A crystal of TaZnRu relaxed with PBEsol, computed with SCAN.

```
TaZnRu
1.0
2.844 0.000 0.000
-1.422 2.463 0.000
0.000 0.000 6.490
Ta Zn Ru
1 1 1
Direct
0.000 0.000 0.000
0.333 0.667 0.644
0.667 0.333 0.324
```

Summary:
Its density of states at the Fermi level is 0.725 states/eV/atom. The excess energy over the best structure of this formula in the dataset comes out at 5.89 kcal/mol of atoms. As for the space-group type: P3m1, No. 156. For the formation energy, the calculation gives 0.0230 eV per atom.

A crystal of CrGeIr3 relaxed with PBEsol, computed with SCAN.

```
CrGeIr3
1.0
4.451 0.000 0.000
0.000 4.451 0.000
0.000 0.000 4.451
Cr Ge Ir
1 1 3
Direct
0.000 0.000 0.000
0.500 0.500 0.500
0.000 0.000 0.500
0.000 0.500 0.000
0.500 0.000 0.000
```

Summary:
Its density of states at the Fermi level is 1.114 states/eV/atom. As for the space-group type: Pm-3m, No. 221. For the formation energy, the calculation gives 1.4132 eV per atom.

A crystal of CuPdC2 relaxed with PBEsol, computed with SCAN.

```
CuPdC2
1.0
-2.277 2.277 4.511
2.277 -2.277 4.511
2.277 2.277 -4.511
Cu Pd C
2 2 4
Direct
0.000 0.000 0.000
0.750 0.250 0.500
0.250 0.750 0.500
0.500 0.500 0.000
0.117 0.625 0.992
0.375 0.367 0.492
0.633 0.125 0.008
0.875 0.883 0.508
```

Summary:
Its density of states at the Fermi level is 0.539 states/eV/atom. As for the space-group type: I-42d, No. 122. For the formation energy, the calculation gives 1.4269 eV per atom.

A crystal of YSi2Sb relaxed with PBEsol, computed with SCAN.

```
YSi2Sb
1.0
1.854 1.070 7.493
-1.854 1.070 7.493
0.000 -2.140 7.493
Y Si Sb
1 2 1
Direct
0.000 0.000 0.000
0.248 0.248 0.248
0.537 0.537 0.537
0.770 0.770 0.770
```

Summary:
Its density of states at the Fermi level is 0.524 states/eV/atom. The total energy comes out at -21.4637 eV per atom. As for the space-group type: R3m, No. 160.

A crystal of AuCl2 relaxed with PBEsol, computed with SCAN.

```
AuCl2
1.0
6.728 0.000 0.000
0.349 6.880 0.000
0.469 2.409 6.571
Au Cl
4 8
Direct
0.022 0.224 0.464
0.254 0.873 0.926
0.746 0.127 0.074
0.978 0.776 0.536
0.195 0.581 0.204
0.244 0.066 0.133
0.263 0.676 0.713
0.308 0.172 0.635
0.692 0.828 0.365
0.737 0.324 0.287
0.756 0.934 0.867
0.805 0.419 0.796
```

Summary:
The total energy comes out at -28.6883 eV per atom. As for the space-group type: P-1, No. 2.

A crystal of ZnOs2Pt relaxed with PBEsol, computed with SCAN.

```
ZnOs2Pt
1.0
-1.897 1.897 3.893
1.897 -1.897 3.893
1.897 1.897 -3.893
Zn Os Pt
1 2 1
Direct
0.000 0.000 0.000
0.250 0.750 0.500
0.750 0.250 0.500
0.500 0.500 0.000
```

Summary:
Its density of states at the Fermi level is 0.685 states/eV/atom. As for the space-group type: I4/mmm, No. 139. For the formation energy, the calculation gives 0.2329 eV per atom.

A crystal of NdFe4As12 relaxed with PBEsol, computed with SCAN.

```
NdFe4As12
1.0
-4.117 4.117 4.117
4.117 -4.117 4.117
4.117 4.117 -4.117
Nd Fe As
1 4 12
Direct
0.000 0.000 0.000
0.000 0.000 0.500
0.000 0.500 0.000
0.500 0.000 0.000
0.500 0.500 0.500
0.157 0.501 0.343
0.157 0.814 0.657
0.186 0.343 0.843
0.343 0.157 0.501
0.343 0.843 0.186
0.499 0.657 0.843
0.501 0.343 0.157
0.657 0.157 0.814
0.657 0.843 0.499
0.814 0.657 0.157
0.843 0.186 0.343
0.843 0.499 0.657
```

Summary:
Its density of states at the Fermi level is 0.460 states/eV/atom. As for the space-group type: Im-3, No. 204. For the formation energy, the calculation gives -0.3850 eV per atom.

A crystal of BaLaMg2 relaxed with PBEsol, computed with SCAN.

```
BaLaMg2
1.0
4.073 0.000 0.000
0.000 4.073 0.000
0.000 0.000 8.257
Ba La Mg
1 1 2
Direct
0.000 0.000 0.000
0.000 0.000 0.500
0.500 0.500 0.283
0.500 0.500 0.717
```

Summary:
Its density of states at the Fermi level is 0.789 states/eV/atom. As for the space-group type: P4/mmm, No. 123. For the formation energy, the calculation gives -0.0782 eV per atom.